CaAl3CuNi: relaxed, PBE-GGA.

Output
Energy of formation: -0.256 eV per atom
Fermi-level density of states: 8.5 states/eV per cell
VASP energy: -4.1066 eV per atom

Structure (CIF):
```
data_CaAl3CuNi
_symmetry_space_group_name_H-M 'C m c m'
_symmetry_Int_Tables_number 63
_symmetry_space_group_name_Hall '-C 2c 2'
_cell_length_a 6.2656
_cell_length_b 12.2090
_cell_length_c 5.5864
_cell_angle_alpha 90.00
_cell_angle_beta 90.00
_cell_angle_gamma 90.00
loop_
_atom_site_label
_atom_site_type_symbol
_atom_site_fract_x
_atom_site_fract_y
_atom_site_fract_z
Ca1 Ca 0.0000 0.2266 0.2500
Al1 Al 0.0000 0.3573 0.7500
Al2 Al 0.2061 0.0000 0.0000
Cu1 Cu 0.0000 0.1469 0.7500
Ni1 Ni 0.0000 0.4472 0.2500
```


TcTeOs2: relaxed, PBE-GGA.

Output
Energy above the lowest structure with this stoichiometry: 0.261 eV/atom
Fermi-level density of states: 6.3 states/eV per cell
VASP energy: -8.1595 eV per atom

Structure (CIF):
```
data_TcTeOs2
_symmetry_space_group_name_H-M 'P 4/m m m'
_symmetry_Int_Tables_number 123
_symmetry_space_group_name_Hall '-P 4 2'
_cell_length_a 4.0025
_cell_length_b 4.0025
_cell_length_c 3.9896
_cell_angle_alpha 90.00
_cell_angle_beta 90.00
_cell_angle_gamma 90.00
loop_
_atom_site_label
_atom_site_type_symbol
_atom_site_fract_x
_atom_site_fract_y
_atom_site_fract_z
Tc1 Tc 0.0000 0.0000 0.0000
Te1 Te 0.5000 0.5000 0.0000
Os1 Os 0.0000 0.5000 0.5000
```


RbUCo2S4: relaxed, PBE-GGA.

Output
Fermi-level density of states: 13.4 states/eV per cell
VASP energy: -5.9334 eV per atom

Structure (CIF):
```
data_RbUCo2S4
_symmetry_space_group_name_H-M 'I 2 2 2'
_symmetry_Int_Tables_number 23
_cell_length_a 6.1148
_cell_length_b 8.0292
_cell_length_c 8.9175
_cell_angle_alpha 90.00
_cell_angle_beta 90.00
_cell_angle_gamma 90.00
loop_
_symmetry_equiv_pos_as_xyz
'x,y,z'
'-x,-y,z'
'x,-y,-z'
'-x,y,-z'
'x+1/2,y+1/2,z+1/2'
'-x+1/2,-y+1/2,z+1/2'
'x+1/2,-y+1/2,-z+1/2'
'-x+1/2,y+1/2,-z+1/2'
loop_
_atom_site_label
_atom_site_type_symbol
_atom_site_fract_x
_atom_site_fract_y
_atom_site_fract_z
Rb1 Rb 0.0000 0.0000 0.0000
U1 U 0.0000 0.0000 0.5000
Co1 Co 0.0000 0.5000 0.1211
S1 S 0.2390 0.1719 0.3229
```


Sr6Mg3Hg: relaxed, PBE-GGA.

Output
Energy of formation: -0.119 eV per atom
Fermi-level density of states: 18.1 states/eV per cell
VASP energy: -1.6366 eV per atom

Structure (CIF):
```
data_Sr6Mg3Hg
_symmetry_space_group_name_H-M 'P 1 21/m 1'
_symmetry_Int_Tables_number 11
_cell_length_a 10.1836
_cell_length_b 6.0345
_cell_length_c 13.6791
_cell_angle_alpha 90.00
_cell_angle_beta 111.59
_cell_angle_gamma 90.00
loop_
_symmetry_equiv_pos_as_xyz
'x,y,z'
'-x,-y,-z'
'-x,y+1/2,-z'
'x,-y+1/2,z'
loop_
_atom_site_label
_atom_site_type_symbol
_atom_site_fract_x
_atom_site_fract_y
_atom_site_fract_z
Sr1 Sr 0.0059 0.2500 0.4135
Sr2 Sr 0.1722 0.7500 0.1542
Sr3 Sr 0.2581 0.2500 0.9962
Sr4 Sr 0.3496 0.7500 0.8301
Sr5 Sr 0.3638 0.2500 0.3489
Sr6 Sr 0.3785 0.2500 0.6454
Mg1 Mg 0.0193 0.7500 0.8588
Mg2 Mg 0.0731 0.2500 0.7212
Mg3 Mg 0.2572 0.7500 0.4588
Hg1 Hg 0.4625 0.7500 0.0942
```